Record 1
First-principles (PBE) data for a relaxed Sm2AlCu3 crystal, as listed in Alexandria.

The structure in CIF format:
```
data_Sm2AlCu3
_space_group_name_H-M_alt 'F m m m'
_space_group_IT_number 69
_space_group_name_Hall '-F 2 2'
_cell_length_a 7.355
_cell_length_b 8.697
_cell_length_c 15.207
_cell_angle_alpha 90.00
_cell_angle_beta 90.00
_cell_angle_gamma 90.00
loop_
_atom_site_label
_atom_site_type_symbol
_atom_site_fract_x
_atom_site_fract_y
_atom_site_fract_z
Sm1 Sm 0.239 0.000 0.000
Sm2 Sm 0.250 0.250 0.250
Al1 Al 0.000 0.000 0.334
Cu1 Cu 0.000 0.000 0.168
Cu2 Cu 0.000 0.247 0.417
```

Values from the calculation:
Total magnetization = 0.0 μB per formula unit
Total DFT energy (no corrections) = -4.499 eV/atom
Formation enthalpy at 0 K = -0.254 eV/atom

Record 2
First-principles (PBE) data for a relaxed ZrSnPt2W crystal, as listed in Alexandria.

The structure in CIF format:
```
data_ZrSnPt2W
_space_group_name_H-M_alt 'P 4/m m m'
_space_group_IT_number 123
_space_group_name_Hall '-P 4 2'
_cell_length_a 4.913
_cell_length_b 4.913
_cell_length_c 5.329
_cell_angle_alpha 90.00
_cell_angle_beta 90.00
_cell_angle_gamma 90.00
loop_
_atom_site_label
_atom_site_type_symbol
_atom_site_fract_x
_atom_site_fract_y
_atom_site_fract_z
Zr1 Zr 0.000 0.000 0.000
Sn1 Sn 0.000 0.000 0.500
Pt1 Pt 0.000 0.500 0.000
W1 W 0.500 0.500 0.500
```

Values from the calculation:
Total magnetization = 2.9 μB per formula unit
Total DFT energy (no corrections) = -6.010 eV/atom
Formation enthalpy at 0 K = 1.508 eV/atom

Record 3
First-principles (PBE) data for a relaxed La8Ru2Au crystal, as listed in Alexandria.

The structure in CIF format:
```
data_La8Ru2Au
_space_group_name_H-M_alt 'C 1 m 1'
_space_group_IT_number 8
_cell_length_a 8.354
_cell_length_b 13.478
_cell_length_c 6.509
_cell_angle_alpha 90.00
_cell_angle_beta 109.08
_cell_angle_gamma 90.00
loop_
_space_group_symop_operation_xyz
'x,y,z'
'x,-y,z'
'x+1/2,y+1/2,z'
'x+1/2,-y+1/2,z'
loop_
_atom_site_label
_atom_site_type_symbol
_atom_site_fract_x
_atom_site_fract_y
_atom_site_fract_z
La1 La 0.000 0.000 0.000
La2 La 0.089 0.365 0.803
La3 La 0.147 0.134 0.597
La4 La 0.230 0.500 0.396
La5 La 0.375 0.216 0.197
Ru1 Ru 0.363 0.305 0.697
Au1 Au 0.370 0.000 0.019
```

Values from the calculation:
Total magnetization = 0.0 μB per formula unit
Total DFT energy (no corrections) = -5.799 eV/atom
Formation enthalpy at 0 K = -0.231 eV/atom

Record 4
First-principles (PBE) data for a relaxed Li2MgPd2 crystal, as listed in Alexandria.

The structure in CIF format:
```
data_Li2MgPd2
_space_group_name_H-M_alt 'C 1 2/c 1'
_space_group_IT_number 15
_cell_length_a 7.105
_cell_length_b 6.910
_cell_length_c 6.842
_cell_angle_alpha 90.00
_cell_angle_beta 105.43
_cell_angle_gamma 90.00
loop_
_space_group_symop_operation_xyz
'x,y,z'
'-x,-y,-z'
'-x,y,-z+1/2'
'x,-y,z+1/2'
'x+1/2,y+1/2,z'
'-x+1/2,-y+1/2,-z'
'-x+1/2,y+1/2,-z+1/2'
'x+1/2,-y+1/2,z+1/2'
loop_
_atom_site_label
_atom_site_type_symbol
_atom_site_fract_x
_atom_site_fract_y
_atom_site_fract_z
Li1 Li 0.176 0.064 0.474
Mg1 Mg 0.000 0.363 0.750
Pd1 Pd 0.135 0.287 0.141
```

Values from the calculation:
Total magnetization = 0.0 μB per formula unit
Total DFT energy (no corrections) = -3.621 eV/atom
Formation enthalpy at 0 K = -0.460 eV/atom
Energy above the most stable polymorph in this dataset = 0.0 meV per atom

Record 5
First-principles (PBE) data for a relaxed PmPuTh2P4 crystal, as listed in Alexandria.

The structure in CIF format:
```
data_PmPuTh2P4
_space_group_name_H-M_alt 'P 1 2/m 1'
_space_group_IT_number 10
_cell_length_a 7.101
_cell_length_b 4.128
_cell_length_c 7.131
_cell_angle_alpha 90.00
_cell_angle_beta 109.68
_cell_angle_gamma 90.00
loop_
_space_group_symop_operation_xyz
'x,y,z'
'-x,-y,-z'
'-x,y,-z'
'x,-y,z'
loop_
_atom_site_label
_atom_site_type_symbol
_atom_site_fract_x
_atom_site_fract_y
_atom_site_fract_z
Pm1 Pm 0.000 0.000 0.000
Pu1 Pu 0.000 0.500 0.500
Th1 Th 0.500 0.000 0.500
Th2 Th 0.500 0.500 0.000
P1 P 0.245 0.000 0.745
P2 P 0.249 0.500 0.253
```

Values from the calculation:
Total magnetization = 5.6 μB per formula unit
Total DFT energy (no corrections) = -8.419 eV/atom
Formation enthalpy at 0 K = -1.474 eV/atom

Record 6
First-principles (PBE) data for a relaxed TlPdRh crystal, as listed in Alexandria.

The structure in CIF format:
```
data_TlPdRh
_space_group_name_H-M_alt 'I 4 m m'
_space_group_IT_number 107
_space_group_name_Hall 'I 4 -2'
_cell_length_a 3.243
_cell_length_b 3.243
_cell_length_c 9.860
_cell_angle_alpha 90.00
_cell_angle_beta 90.00
_cell_angle_gamma 90.00
loop_
_atom_site_label
_atom_site_type_symbol
_atom_site_fract_x
_atom_site_fract_y
_atom_site_fract_z
Tl1 Tl 0.000 0.000 0.000
Pd1 Pd 0.000 0.000 0.331
Rh1 Rh 0.000 0.000 0.663
```

Values from the calculation:
Total magnetization = 0.0 μB per formula unit
Total DFT energy (no corrections) = -4.872 eV/atom
Formation enthalpy at 0 K = 0.098 eV/atom
Energy above the most stable polymorph in this dataset = 0.0 meV per atom

Record 7
First-principles (PBE) data for a relaxed AsSe2N2 crystal, as listed in Alexandria.

The structure in CIF format:
```
data_AsSe2N2
_space_group_name_H-M_alt 'C 1 2/m 1'
_space_group_IT_number 12
_cell_length_a 6.331
_cell_length_b 3.649
_cell_length_c 11.662
_cell_angle_alpha 90.00
_cell_angle_beta 90.38
_cell_angle_gamma 90.00
loop_
_space_group_symop_operation_xyz
'x,y,z'
'-x,-y,-z'
'-x,y,-z'
'x,-y,z'
'x+1/2,y+1/2,z'
'-x+1/2,-y+1/2,-z'
'-x+1/2,y+1/2,-z'
'x+1/2,-y+1/2,z'
loop_
_atom_site_label
_atom_site_type_symbol
_atom_site_fract_x
_atom_site_fract_y
_atom_site_fract_z
As1 As 0.000 0.000 0.000
Se1 Se 0.165 0.500 0.865
N1 N 0.039 0.000 0.457
```

Values from the calculation:
Total magnetization = 0.0 μB per formula unit
ΔE_f (raw) = 0.00 eV/atom
Total DFT energy (no corrections) = -5.653 eV/atom
Energy above the most stable polymorph in this dataset = 0.0 meV per atom

Record 8
First-principles (PBE) data for a relaxed SiBi2AsCl crystal, as listed in Alexandria.

The structure in CIF format:
```
data_SiBi2AsCl
_space_group_name_H-M_alt 'P 4/m m m'
_space_group_IT_number 123
_space_group_name_Hall '-P 4 2'
_cell_length_a 5.477
_cell_length_b 5.477
_cell_length_c 4.752
_cell_angle_alpha 90.00
_cell_angle_beta 90.00
_cell_angle_gamma 90.00
loop_
_atom_site_label
_atom_site_type_symbol
_atom_site_fract_x
_atom_site_fract_y
_atom_site_fract_z
Si1 Si 0.000 0.000 0.000
Bi1 Bi 0.000 0.500 0.000
As1 As 0.000 0.000 0.500
Cl1 Cl 0.500 0.500 0.500
```

Values from the calculation:
Total magnetization = 0.0 μB per formula unit
ΔE_f (raw) = 0.43 eV/atom
Total DFT energy (no corrections) = -3.506 eV/atom
Energy above the most stable polymorph in this dataset = 0.0 meV per atom